i:
A plane-wave DFT calculation with PBE was carried out for a relaxed structure of Nb3PbCl.

Properties
crystal system	cubic
magnetization	0.00	μB per cell

Lattice parameters (Å, degrees): 4.625 4.625 4.625 90.00 90.00 90.00
Space group Pm-3m (No. 221)
Unique sites:
Nb 0.000 0.000 0.500
Pb 0.500 0.500 0.500
Cl 0.000 0.000 0.000

ii:
A plane-wave DFT calculation with PBE was carried out for a relaxed structure of Nb3PbCl.

Properties
crystal system	cubic
magnetization	0.88	μB per cell

Lattice parameters (Å, degrees): 5.263 5.263 5.263 90.00 90.00 90.00
Space group Pm-3m (No. 221)
Unique sites:
Nb 0.000 0.000 0.500
Pb 0.000 0.000 0.000
Cl 0.500 0.500 0.500

Energetically preferred structure: i | next structure: +1603 meV/atom